1.
The following is a DFT calculation (PBEsol) of Al2CdW after structural relaxation.

Formation enthalpy at 0 K ... 0.164 eV per atom
Size of the total moment ... 0.00 Bohr magnetons per cell
VASP energy ... -22.53 eV for the cell shown
Symmetry ... P4/mmm, No. 123

a b c (Å): 2.791 2.791 8.655
angles (deg): 90.00 90.00 90.00
Fractional coordinates of all 4 atoms:
Al  0.000  0.000  0.227
Al  0.000  0.000  0.773
Cd  0.500  0.500  0.500
W  0.500  0.500  0.000

---

2.
The following is a DFT calculation (PBEsol) of Ce2Tl3Sn3 after structural relaxation.

Formation enthalpy at 0 K ... -0.436 eV per atom
Size of the total moment ... 1.23 Bohr magnetons per cell
VASP energy ... -37.35 eV for the cell shown
Symmetry ... Pmmm, No. 47

a b c (Å): 4.611 4.660 9.466
angles (deg): 90.00 90.00 90.00
Fractional coordinates of all 8 atoms:
Ce  0.000  0.000  0.243
Ce  0.000  0.000  0.757
Tl  0.000  0.500  0.000
Tl  0.000  0.500  0.500
Tl  0.500  0.000  0.500
Sn  0.500  0.000  0.000
Sn  0.500  0.500  0.249
Sn  0.500  0.500  0.751

---

3.
The following is a DFT calculation (PBEsol) of MgCdCu2 after structural relaxation.

Formation enthalpy at 0 K ... -0.011 eV per atom
Size of the total moment ... 0.00 Bohr magnetons per cell
VASP energy ... -11.63 eV for the cell shown
Symmetry ... I-4m2, No. 119

a b c (Å): 4.868 4.868 4.868
angles (deg): 133.42 133.42 68.00
Fractional coordinates of all 4 atoms:
Mg  0.000  0.000  0.000
Cd  0.750  0.250  0.500
Cu  0.250  0.750  0.500
Cu  0.500  0.500  0.000